[1]
## Nd2TmTl3Te6 (PBE)

Data for crystalline Nd2TmTl3Te6 at its relaxed geometry. Values from VASP.

formation energy without anion corrections	-1057	meV per atom
DFT total energy	-4.39	eV per atom

```
&SYSTEM
  ibrav = 0, nat = 12, ntyp = 4
/
ATOMIC_SPECIES
Nd 144.24 Nd.upf
Tm 168.93 Tm.upf
Tl 204.38 Tl.upf
Te 127.60 Te.upf
CELL_PARAMETERS angstrom
7.825 0.000 0.000
-3.911 6.778 0.000
-1.305 -2.260 8.185
ATOMIC_POSITIONS crystal
Nd 0.334 0.666 0.000
Nd 0.666 0.334 0.000
Tm 0.000 0.000 0.000
Tl 0.170 0.830 0.500
Tl 0.830 0.170 0.500
Tl 0.500 0.500 0.500
Te 0.928 0.605 0.784
Te 0.750 0.750 0.219
Te 0.072 0.395 0.216
Te 0.605 0.928 0.784
Te 0.250 0.250 0.781
Te 0.395 0.072 0.216
```

[2]
## NdTmTlTe (PBE)

Data for crystalline NdTmTlTe at its relaxed geometry. Values from VASP.

formation energy without anion corrections	-802	meV per atom
DOS(E_F)	1.98	states/eV/cell
DFT total energy	-4.49	eV per atom

```
&SYSTEM
  ibrav = 0, nat = 4, ntyp = 4
/
ATOMIC_SPECIES
Nd 144.24 Nd.upf
Tm 168.93 Tm.upf
Tl 204.38 Tl.upf
Te 127.60 Te.upf
CELL_PARAMETERS angstrom
4.229 0.000 0.000
2.115 3.663 0.000
2.115 1.221 7.919
ATOMIC_POSITIONS crystal
Nd 0.499 0.499 0.503
Tm 0.001 0.001 0.996
Tl 0.254 0.254 0.238
Te 0.746 0.746 0.763
```

[3]
## Nd3UTl3Te8 (PBE)

Data for crystalline Nd3UTl3Te8 at its relaxed geometry. Values from VASP.

formation energy without anion corrections	-975	meV per atom
DOS(E_F)	5.25	states/eV/cell
DFT total energy	-4.83	eV per atom

```
&SYSTEM
  ibrav = 0, nat = 15, ntyp = 4
/
ATOMIC_SPECIES
Nd 144.24 Nd.upf
U 238.03 U.upf
Tl 204.38 Tl.upf
Te 127.60 Te.upf
CELL_PARAMETERS angstrom
9.038 0.000 0.000
-4.519 7.827 -0.031
0.000 -5.186 8.264
ATOMIC_POSITIONS crystal
Nd 0.500 0.000 0.500
Nd 0.500 0.500 0.500
Nd 0.000 0.500 0.500
U 0.000 0.000 0.500
Tl 0.000 0.000 0.000
Tl 0.000 0.500 0.000
Tl 0.500 0.500 0.000
Te 0.260 0.519 0.279
Te 0.740 0.481 0.721
Te 0.767 0.534 0.286
Te 0.233 0.466 0.714
Te 0.767 0.019 0.286
Te 0.233 0.981 0.714
Te 0.252 0.019 0.286
Te 0.748 0.981 0.714
```

[4]
## NdU3Tl4Te8 (PBE)

Data for crystalline NdU3Tl4Te8 at its relaxed geometry. Values from VASP.

formation energy without anion corrections	-652	meV per atom
DOS(E_F)	21.61	states/eV/cell
DFT total energy	-5.23	eV per atom

```
&SYSTEM
  ibrav = 0, nat = 16, ntyp = 4
/
ATOMIC_SPECIES
Nd 144.24 Nd.upf
U 238.03 U.upf
Tl 204.38 Tl.upf
Te 127.60 Te.upf
CELL_PARAMETERS angstrom
8.908 0.000 0.000
0.000 9.747 0.590
-4.454 -4.454 6.300
ATOMIC_POSITIONS crystal
Nd 0.000 0.500 0.000
U 0.500 0.500 0.000
U 0.500 0.500 0.500
U 0.000 0.500 0.500
Tl 0.500 0.000 0.000
Tl 0.500 0.000 0.500
Tl 0.000 0.000 0.000
Tl 0.000 0.000 0.500
Te 0.242 0.718 0.976
Te 0.242 0.718 0.484
Te 0.261 0.285 0.523
Te 0.734 0.718 0.976
Te 0.266 0.282 0.024
Te 0.739 0.715 0.477
Te 0.758 0.282 0.516
Te 0.758 0.282 0.024
```

[5]
## Nd2YTl3Te6 (PBE)

Data for crystalline Nd2YTl3Te6 at its relaxed geometry. Values from VASP.

formation energy without anion corrections	-1072	meV per atom
DFT total energy	-4.57	eV per atom

```
&SYSTEM
  ibrav = 0, nat = 12, ntyp = 4
/
ATOMIC_SPECIES
Nd 144.24 Nd.upf
Y 88.91 Y.upf
Tl 204.38 Tl.upf
Te 127.60 Te.upf
CELL_PARAMETERS angstrom
7.851 0.000 0.000
-3.924 6.801 0.000
-1.310 -2.268 8.179
ATOMIC_POSITIONS crystal
Nd 0.334 0.666 0.000
Nd 0.666 0.334 0.000
Y 0.000 0.000 0.000
Tl 0.169 0.831 0.500
Tl 0.831 0.169 0.500
Tl 0.500 0.500 0.500
Te 0.928 0.601 0.782
Te 0.747 0.747 0.220
Te 0.072 0.399 0.218
Te 0.601 0.928 0.782
Te 0.253 0.253 0.780
Te 0.399 0.072 0.218
```

[6]
## NdY2Tl3Te6 (PBE)

Data for crystalline NdY2Tl3Te6 at its relaxed geometry. Values from VASP.

formation energy without anion corrections	-1070	meV per atom
DFT total energy	-4.71	eV per atom

```
&SYSTEM
  ibrav = 0, nat = 12, ntyp = 4
/
ATOMIC_SPECIES
Nd 144.24 Nd.upf
Y 88.91 Y.upf
Tl 204.38 Tl.upf
Te 127.60 Te.upf
CELL_PARAMETERS angstrom
7.784 0.000 0.000
-3.890 6.742 0.000
-1.298 -2.248 8.179
ATOMIC_POSITIONS crystal
Nd 0.000 0.000 0.000
Y 0.333 0.667 0.000
Y 0.667 0.333 0.000
Tl 0.164 0.836 0.500
Tl 0.836 0.164 0.500
Tl 0.500 0.500 0.500
Te 0.928 0.587 0.783
Te 0.731 0.731 0.215
Te 0.072 0.413 0.217
Te 0.587 0.928 0.783
Te 0.269 0.269 0.785
Te 0.413 0.072 0.217
```

[7]
## Nd3YTl4Te8 (PBE)

Data for crystalline Nd3YTl4Te8 at its relaxed geometry. Values from VASP.

formation energy without anion corrections	-1072	meV per atom
DFT total energy	-4.53	eV per atom

```
&SYSTEM
  ibrav = 0, nat = 16, ntyp = 4
/
ATOMIC_SPECIES
Nd 144.24 Nd.upf
Y 88.91 Y.upf
Tl 204.38 Tl.upf
Te 127.60 Te.upf
CELL_PARAMETERS angstrom
9.086 0.000 0.000
0.000 9.707 0.431
-4.543 -4.539 6.428
ATOMIC_POSITIONS crystal
Nd 0.500 0.500 0.000
Nd 0.500 0.500 0.500
Nd 0.000 0.500 0.500
Y 0.000 0.500 0.000
Tl 0.500 0.000 0.000
Tl 0.500 0.000 0.500
Tl 0.000 0.000 0.000
Tl 0.000 0.000 0.500
Te 0.236 0.718 0.982
Te 0.236 0.718 0.472
Te 0.259 0.278 0.519
Te 0.746 0.718 0.982
Te 0.254 0.282 0.018
Te 0.741 0.722 0.481
Te 0.764 0.282 0.528
Te 0.764 0.282 0.018
```

[8]
## NdY3Tl4Te8 (PBE)

Data for crystalline NdY3Tl4Te8 at its relaxed geometry. Values from VASP.

formation energy without anion corrections	-1069	meV per atom
DFT total energy	-4.74	eV per atom

```
&SYSTEM
  ibrav = 0, nat = 16, ntyp = 4
/
ATOMIC_SPECIES
Nd 144.24 Nd.upf
Y 88.91 Y.upf
Tl 204.38 Tl.upf
Te 127.60 Te.upf
CELL_PARAMETERS angstrom
8.970 0.000 0.000
0.000 9.669 0.489
-4.485 -4.482 6.345
ATOMIC_POSITIONS crystal
Nd 0.000 0.500 0.000
Y 0.500 0.500 0.000
Y 0.500 0.500 0.500
Y 0.000 0.500 0.500
Tl 0.500 0.000 0.000
Tl 0.500 0.000 0.500
Tl 0.000 0.000 0.000
Tl 0.000 0.000 0.500
Te 0.242 0.716 0.974
Te 0.242 0.716 0.484
Te 0.262 0.287 0.525
Te 0.732 0.716 0.974
Te 0.268 0.284 0.026
Te 0.738 0.713 0.475
Te 0.758 0.284 0.516
Te 0.758 0.284 0.026
```

[9]
## NdTl2Zn2Te4 (PBE)

Data for crystalline NdTl2Zn2Te4 at its relaxed geometry. Values from VASP.

formation energy without anion corrections	-596	meV per atom
DOS(E_F)	1.73	states/eV/cell
DFT total energy	-3.33	eV per atom

```
&SYSTEM
  ibrav = 0, nat = 9, ntyp = 4
/
ATOMIC_SPECIES
Nd 144.24 Nd.upf
Tl 204.38 Tl.upf
Zn 65.41 Zn.upf
Te 127.60 Te.upf
CELL_PARAMETERS angstrom
-1.195 2.926 -2.998
3.032 -5.112 -6.198
-7.077 -3.497 2.573
ATOMIC_POSITIONS crystal
Nd 0.000 0.000 0.000
Tl 0.131 0.542 0.262
Tl 0.869 0.458 0.738
Zn 0.666 0.980 0.332
Zn 0.334 0.020 0.668
Te 0.208 0.183 0.416
Te 0.792 0.817 0.584
Te 0.515 0.739 0.029
Te 0.485 0.261 0.971
```

[10]
## Nd2ZrTl3Te6 (PBE)

Data for crystalline Nd2ZrTl3Te6 at its relaxed geometry. Values from VASP.

formation energy without anion corrections	-904	meV per atom
DOS(E_F)	5.47	states/eV/cell
DFT total energy	-4.57	eV per atom

```
&SYSTEM
  ibrav = 0, nat = 12, ntyp = 4
/
ATOMIC_SPECIES
Nd 144.24 Nd.upf
Zr 91.22 Zr.upf
Tl 204.38 Tl.upf
Te 127.60 Te.upf
CELL_PARAMETERS angstrom
-6.426 3.807 -1.605
1.308 -6.800 -3.228
-2.083 -2.732 7.931
ATOMIC_POSITIONS crystal
Nd 0.334 0.666 0.000
Nd 0.666 0.334 0.000
Zr 0.000 0.000 0.000
Tl 0.174 0.826 0.500
Tl 0.826 0.174 0.500
Tl 0.500 0.500 0.500
Te 0.929 0.615 0.784
Te 0.761 0.761 0.221
Te 0.071 0.385 0.216
Te 0.615 0.929 0.784
Te 0.239 0.239 0.779
Te 0.385 0.071 0.216
```

[11]
## NdZr2Tl3Te6 (PBE)

Data for crystalline NdZr2Tl3Te6 at its relaxed geometry. Values from VASP.

formation energy without anion corrections	-761	meV per atom
DOS(E_F)	5.82	states/eV/cell
DFT total energy	-4.75	eV per atom

```
&SYSTEM
  ibrav = 0, nat = 12, ntyp = 4
/
ATOMIC_SPECIES
Nd 144.24 Nd.upf
Zr 91.22 Zr.upf
Tl 204.38 Tl.upf
Te 127.60 Te.upf
CELL_PARAMETERS angstrom
-1.939 -4.320 5.626
0.509 -2.798 -6.781
8.550 0.536 1.753
ATOMIC_POSITIONS crystal
Nd 0.000 0.000 0.000
Zr 0.331 0.669 0.000
Zr 0.669 0.331 0.000
Tl 0.157 0.843 0.500
Tl 0.843 0.157 0.500
Tl 0.500 0.500 0.500
Te 0.927 0.574 0.784
Te 0.715 0.715 0.208
Te 0.073 0.426 0.216
Te 0.574 0.927 0.784
Te 0.285 0.285 0.792
Te 0.426 0.073 0.216
```

[12]
## Nd4TmTe7 (PBE)

Data for crystalline Nd4TmTe7 at its relaxed geometry. Values from VASP.

formation energy without anion corrections	-1417	meV per atom
DOS(E_F)	2.08	states/eV/cell
DFT total energy	-5.21	eV per atom

```
&SYSTEM
  ibrav = 0, nat = 12, ntyp = 3
/
ATOMIC_SPECIES
Nd 144.24 Nd.upf
Tm 168.93 Tm.upf
Te 127.60 Te.upf
CELL_PARAMETERS angstrom
-1.020 0.190 4.212
-2.043 -6.939 -2.416
12.949 -1.350 3.197
ATOMIC_POSITIONS crystal
Nd 0.700 0.400 0.808
Nd 0.300 0.600 0.192
Nd 0.999 0.999 0.997
Nd 0.114 0.227 0.427
Tm 0.885 0.770 0.576
Te 0.745 0.490 0.356
Te 0.267 0.533 0.649
Te 0.337 0.673 0.951
Te 0.662 0.323 0.049
Te 0.034 0.069 0.776
Te 0.964 0.927 0.216
Te 0.494 0.989 0.503
```

[13]
## Nd2Tm3Te6 (PBE)

Data for crystalline Nd2Tm3Te6 at its relaxed geometry. Values from VASP.

formation energy without anion corrections	-1383	meV per atom
DOS(E_F)	5.10	states/eV/cell
DFT total energy	-5.18	eV per atom

```
&SYSTEM
  ibrav = 0, nat = 11, ntyp = 3
/
ATOMIC_SPECIES
Nd 144.24 Nd.upf
Tm 168.93 Tm.upf
Te 127.60 Te.upf
CELL_PARAMETERS angstrom
-2.955 -6.894 1.017
3.299 -4.876 4.701
-4.970 0.194 5.729
ATOMIC_POSITIONS crystal
Nd 0.164 0.673 0.500
Nd 0.836 0.327 0.500
Tm 0.000 0.000 0.000
Tm 0.328 0.343 0.000
Tm 0.672 0.657 0.000
Te 0.416 0.679 0.756
Te 0.734 0.000 0.760
Te 0.095 0.321 0.756
Te 0.266 0.000 0.240
Te 0.584 0.321 0.244
Te 0.905 0.679 0.244
```

[14]
## NdTmTe2 (PBE)

Data for crystalline NdTmTe2 at its relaxed geometry. Values from VASP.

formation energy without anion corrections	-1306	meV per atom
DOS(E_F)	2.11	states/eV/cell
DFT total energy	-5.19	eV per atom

```
&SYSTEM
  ibrav = 0, nat = 4, ntyp = 3
/
ATOMIC_SPECIES
Te 127.60 Te.upf
Tm 168.93 Tm.upf
Nd 144.24 Nd.upf
CELL_PARAMETERS angstrom
4.325 0.000 0.000
2.163 3.746 0.000
2.163 1.249 7.442
ATOMIC_POSITIONS crystal
Te 0.256 0.256 0.233
Te 0.744 0.744 0.767
Tm 0.000 0.000 0.000
Nd 0.500 0.500 0.500
```

[15]
## NdTm3Te3 (PBE)

Data for crystalline NdTm3Te3 at its relaxed geometry. Values from VASP.

formation energy without anion corrections	-914	meV per atom
DOS(E_F)	13.94	states/eV/cell
DFT total energy	-4.86	eV per atom

```
&SYSTEM
  ibrav = 0, nat = 14, ntyp = 3
/
ATOMIC_SPECIES
Nd 144.24 Nd.upf
Tm 168.93 Tm.upf
Te 127.60 Te.upf
CELL_PARAMETERS angstrom
-0.736 6.535 -2.825
-4.264 4.804 3.156
6.315 7.133 5.790
ATOMIC_POSITIONS crystal
Nd 0.333 0.333 0.001
Nd 0.667 0.667 0.999
Tm 0.472 0.778 0.631
Tm 0.778 0.119 0.631
Tm 0.119 0.472 0.631
Tm 0.881 0.528 0.369
Tm 0.222 0.881 0.369
Tm 0.528 0.222 0.369
Te 0.254 0.624 0.187
Te 0.935 0.254 0.187
Te 0.624 0.935 0.187
Te 0.376 0.065 0.813
Te 0.065 0.746 0.813
Te 0.746 0.376 0.813
```

[16]
## Nd2TmTe4 (PBE)

Data for crystalline Nd2TmTe4 at its relaxed geometry. Values from VASP.

formation energy without anion corrections	-1433	meV per atom
DOS(E_F)	2.67	states/eV/cell
DFT total energy	-5.23	eV per atom

```
&SYSTEM
  ibrav = 0, nat = 7, ntyp = 3
/
ATOMIC_SPECIES
Nd 144.24 Nd.upf
Tm 168.93 Tm.upf
Te 127.60 Te.upf
CELL_PARAMETERS angstrom
4.407 0.000 0.000
0.000 7.380 -2.260
0.000 -0.126 7.717
ATOMIC_POSITIONS crystal
Nd 0.500 0.500 0.000
Nd 0.500 0.000 0.500
Tm 0.000 0.000 0.000
Te 0.500 0.238 0.238
Te 0.000 0.251 0.749
Te 0.500 0.762 0.762
Te 0.000 0.749 0.251
```

[17]
## Nd2Tm3Te8 (PBE)

Data for crystalline Nd2Tm3Te8 at its relaxed geometry. Values from VASP.

formation energy without anion corrections	-1268	meV per atom
DOS(E_F)	6.13	states/eV/cell
DFT total energy	-4.97	eV per atom

```
&SYSTEM
  ibrav = 0, nat = 13, ntyp = 3
/
ATOMIC_SPECIES
Nd 144.24 Nd.upf
Tm 168.93 Tm.upf
Te 127.60 Te.upf
CELL_PARAMETERS angstrom
-4.701 5.592 -1.812
-6.683 -4.576 3.216
5.958 3.508 5.564
ATOMIC_POSITIONS crystal
Nd 0.330 0.252 0.504
Nd 0.670 0.748 0.496
Tm 0.500 0.000 0.000
Tm 0.000 0.257 0.000
Tm 0.000 0.743 0.000
Te 0.914 0.618 0.235
Te 0.086 0.382 0.765
Te 0.911 0.116 0.233
Te 0.089 0.884 0.767
Te 0.591 0.636 0.767
Te 0.591 0.131 0.767
Te 0.409 0.869 0.233
Te 0.409 0.364 0.233
```

[18]
## NdTmTe2 (PBE)

Data for crystalline NdTmTe2 at its relaxed geometry. Values from VASP.

formation energy without anion corrections	-1169	meV per atom
DOS(E_F)	3.11	states/eV/cell
DFT total energy	-5.05	eV per atom

```
&SYSTEM
  ibrav = 0, nat = 4, ntyp = 3
/
ATOMIC_SPECIES
Te 127.60 Te.upf
Tm 168.93 Tm.upf
Nd 144.24 Nd.upf
CELL_PARAMETERS angstrom
-3.204 -4.262 0.853
2.160 -4.881 0.813
-0.226 -2.271 4.893
ATOMIC_POSITIONS crystal
Te 0.250 0.250 0.250
Te 0.750 0.750 0.750
Tm 0.000 0.000 0.000
Nd 0.500 0.500 0.500
```

[19]
## Nd5TmTe8 (PBE)

Data for crystalline Nd5TmTe8 at its relaxed geometry. Values from VASP.

formation energy without anion corrections	-1386	meV per atom
DOS(E_F)	9.63	states/eV/cell
DFT total energy	-5.20	eV per atom

```
&SYSTEM
  ibrav = 0, nat = 14, ntyp = 3
/
ATOMIC_SPECIES
Nd 144.24 Nd.upf
Tm 168.93 Tm.upf
Te 127.60 Te.upf
CELL_PARAMETERS angstrom
-6.378 4.557 -2.495
4.056 -2.924 -6.532
-2.814 -6.246 4.554
ATOMIC_POSITIONS crystal
Nd 0.995 0.369 0.126
Nd 0.874 0.868 0.243
Nd 0.757 0.631 0.625
Nd 0.500 0.000 0.500
Nd 0.375 0.132 0.005
Tm 0.250 0.500 0.750
Te 0.130 0.745 0.019
Te 0.981 0.112 0.726
Te 0.776 0.249 0.375
Te 0.625 0.401 0.874
Te 0.473 0.599 0.224
Te 0.614 0.888 0.870
Te 0.274 0.255 0.386
Te 0.126 0.751 0.527
```

[20]
## Nd3Tm4Te8 (PBE)

Data for crystalline Nd3Tm4Te8 at its relaxed geometry. Values from VASP.

formation energy without anion corrections	-1344	meV per atom
DOS(E_F)	6.70	states/eV/cell
DFT total energy	-5.17	eV per atom

```
&SYSTEM
  ibrav = 0, nat = 15, ntyp = 3
/
ATOMIC_SPECIES
Nd 144.24 Nd.upf
Tm 168.93 Tm.upf
Te 127.60 Te.upf
CELL_PARAMETERS angstrom
8.750 -0.117 -0.167
-4.264 7.658 0.145
-4.264 -2.522 7.233
ATOMIC_POSITIONS crystal
Nd 0.500 0.500 0.000
Nd 0.500 0.000 0.500
Nd 0.500 0.500 0.500
Tm 0.500 0.000 0.000
Tm 0.000 0.500 0.000
Tm 0.000 0.000 0.000
Tm 0.000 0.000 0.500
Te 0.501 0.245 0.245
Te 0.000 0.749 0.251
Te 0.990 0.246 0.246
Te 0.500 0.755 0.245
Te 0.500 0.245 0.755
Te 0.010 0.754 0.754
Te 0.000 0.251 0.749
Te 0.499 0.755 0.755
```

[21]
## Nd2TmTe3 (PBE)

Data for crystalline Nd2TmTe3 at its relaxed geometry. Values from VASP.

formation energy without anion corrections	-1340	meV per atom
DOS(E_F)	3.29	states/eV/cell
DFT total energy	-5.25	eV per atom

```
&SYSTEM
  ibrav = 0, nat = 6, ntyp = 3
/
ATOMIC_SPECIES
Nd 144.24 Nd.upf
Tm 168.93 Tm.upf
Te 127.60 Te.upf
CELL_PARAMETERS angstrom
-0.719 4.257 0.917
-2.941 0.682 -5.471
-3.988 -4.083 5.204
ATOMIC_POSITIONS crystal
Nd 0.824 0.824 0.149
Nd 0.176 0.176 0.851
Tm 0.500 0.500 0.500
Te 0.845 0.345 0.190
Te 0.155 0.655 0.810
Te 0.500 0.000 0.500
```